(1)
Here is an optimized crystal structure of Na3CeC4O12 from Alexandria via LeMat-Bulk. Energies are from GGA-PBE.

Values from the calculation:
crystal system	trigonal

Cell lengths 6.5036, 6.5036, 6.5036 Å; angles 100.84, 100.84, 100.84 degrees
Last column: nearest neighbours and their distance in Å.
Fractional coordinates of all 20 atoms:
Na1 0.0000 0.5207 0.4793  6 O 2.35-2.44
Na2 0.4793 0.0000 0.5207  6 O 2.35-2.44
Na3 0.5207 0.4793 0.0000  6 O 2.35-2.44
Ce1 0.0000 0.0000 0.0000  6 O 2.38
C1 0.0160 0.5000 0.9840  3 O 1.26-1.32
C2 0.5000 0.5000 0.5000  3 O 1.27
C3 0.5000 0.9840 0.0160  3 O 1.26-1.32
C4 0.9840 0.0160 0.5000  3 O 1.26-1.32
O1 0.0296 0.6427 0.8644  1 C 1.32
O2 0.1095 0.8905 0.5000  1 C 1.26
O3 0.1356 0.3573 0.9704  1 C 1.32
O4 0.3573 0.9704 0.1356  1 C 1.32
O5 0.3729 0.6271 0.5000  1 C 1.27
O6 0.5000 0.1095 0.8905  1 C 1.26
O7 0.5000 0.3729 0.6271  1 C 1.27
O8 0.6271 0.5000 0.3729  1 C 1.27
O9 0.6427 0.8644 0.0296  1 C 1.32
O10 0.8644 0.0296 0.6427  1 C 1.32
O11 0.8905 0.5000 0.1095  1 C 1.26
O12 0.9704 0.1356 0.3573  1 C 1.32

(2)
Here is an optimized crystal structure of Zr2P2Pt from Alexandria via LeMat-Bulk. Energies are from GGA-PBE.

Values from the calculation:
ΔE_f	-1.032	eV/atom
crystal system	tetragonal

Cell lengths 6.8772, 6.8772, 3.5795 Å; angles 90.00, 90.00, 90.00 degrees
Last column: nearest neighbours and their distance in Å.
Fractional coordinates of all 10 atoms:
Zr1 0.1592 0.3408 0.0000  6 P 2.58-2.78
Zr2 0.3408 0.8408 0.0000  6 P 2.58-2.78
Zr3 0.6592 0.1592 0.0000  6 P 2.58-2.78
Zr4 0.8408 0.6592 0.0000  6 P 2.58-2.78
P1 0.1491 0.6491 0.5000  6 Zr 2.58-2.78, 2 Pt 2.62
P2 0.3509 0.1491 0.5000  6 Zr 2.58-2.78, 2 Pt 2.62
P3 0.6491 0.8509 0.5000  6 Zr 2.58-2.78, 2 Pt 2.62
P4 0.8509 0.3509 0.5000  6 Zr 2.58-2.78, 2 Pt 2.62
Pt1 0.0000 0.0000 0.5000  4 P 2.62
Pt2 0.5000 0.5000 0.5000  4 P 2.62

(3)
Here is an optimized crystal structure of LaBiIr4 from Alexandria via LeMat-Bulk. Energies are from GGA-PBE.

Values from the calculation:
ΔE_f	-0.240	eV/atom
crystal system	cubic

Cell lengths 5.4500, 5.4500, 5.4500 Å; angles 60.00, 60.00, 60.00 degrees
Last column: nearest neighbours and their distance in Å.
Fractional coordinates of all 6 atoms:
La1 0.0000 0.0000 0.0000  12 Ir 3.20, 4 Bi 3.34
Bi1 0.7500 0.7500 0.7500  12 Ir 3.19, 4 La 3.34
Ir1 0.3755 0.3755 0.3755  6 Ir 2.71-2.74
Ir2 0.3755 0.3755 0.8734  6 Ir 2.71-2.74
Ir3 0.3755 0.8734 0.3755  6 Ir 2.71-2.74
Ir4 0.8734 0.3755 0.3755  6 Ir 2.71-2.74

(4)
Here is an optimized crystal structure of Ta2VNiH from Alexandria via LeMat-Bulk. Energies are from GGA-PBE.

Values from the calculation:
crystal system	tetragonal

Cell lengths 4.2903, 4.2903, 3.4015 Å; angles 90.00, 90.00, 90.00 degrees
Last column: nearest neighbours and their distance in Å.
Fractional coordinates of all 5 atoms:
Ta1 0.0000 0.5000 0.0000  2 H 2.15
Ta2 0.5000 0.0000 0.0000  2 H 2.15
V1 0.0000 0.0000 0.5000  8 Ta 2.74, 4 Ni 3.03
Ni1 0.5000 0.5000 0.5000  2 H 1.70
H1 0.5000 0.5000 0.0000  2 Ni 1.70

(5)
Here is an optimized crystal structure of CaGaAg6 from Alexandria via LeMat-Bulk. Energies are from GGA-PBE.

Values from the calculation:
ΔE_f	0.128	eV/atom
crystal system	trigonal

Cell lengths 7.6640, 7.6640, 7.6640 Å; angles 43.64, 43.64, 43.64 degrees
Last column: nearest neighbours and their distance in Å.
Fractional coordinates of all 8 atoms:
Ca1 0.0000 0.0000 0.0000  12 Ag 3.19
Ga1 0.5000 0.5000 0.5000  6 Ag 2.62
Ag1 0.0636 0.5727 0.5727  1 Ga 2.62, 5 Ag 2.80-2.90
Ag2 0.4273 0.4273 0.9364  1 Ga 2.62, 5 Ag 2.80-2.90
Ag3 0.4273 0.9364 0.4273  1 Ga 2.62, 5 Ag 2.80-2.90
Ag4 0.5727 0.0636 0.5727  1 Ga 2.62, 5 Ag 2.80-2.90
Ag5 0.5727 0.5727 0.0636  1 Ga 2.62, 5 Ag 2.80-2.90
Ag6 0.9364 0.4273 0.4273  1 Ga 2.62, 5 Ag 2.80-2.90

(6)
Here is an optimized crystal structure of CaCuP2 from Alexandria via LeMat-Bulk. Energies are from GGA-PBE.

Values from the calculation:
ΔE_f	-0.068	eV/atom
crystal system	tetragonal

Cell lengths 3.4719, 3.4719, 5.9829 Å; angles 90.00, 90.00, 90.00 degrees
Last column: nearest neighbours and their distance in Å.
Fractional coordinates of all 4 atoms:
Ca1 0.0000 0.0000 0.0000  6 P 2.86-3.06
Cu1 0.5000 0.5000 0.3787  1 P 2.25
P1 0.0000 0.0000 0.4879  4 Cu 2.54
P2 0.5000 0.5000 0.7556  1 Cu 2.25

Final energy across the listed records, respectively: -7.063, -7.824, -7.615, -8.472, -2.639, -4.297 eV/atom.
Total magnetic moment across the listed records, respectively: 1.1, 0.0, 0.0, 0.0, 0.0, 0.0 μB/f.u..